This record from Alexandria describes ZrMo2P after structural relaxation. The functional is PBE-GGA.

Cell lengths 5.4144, 9.4654, 3.1726 Å; angles 90.00, 124.18, 90.00 degrees
Closest atoms and distances in Å follow each position.
Atoms (fractional coordinates):
Zr 0.0000 0.0000 0.0000  4 P 2.71-2.78, 4 Mo 2.75
Zr 0.5000 0.5000 0.0000  4 P 2.71-2.78, 4 Mo 2.75
Mo 0.2500 0.2500 0.5000  4 Mo 2.71-2.78, 2 Zr 2.75, 2 P 2.75
Mo 0.2500 0.7500 0.5000  4 Mo 2.71-2.78, 2 Zr 2.75, 2 P 2.75
Mo 0.7500 0.2500 0.5000  4 Mo 2.71-2.78, 2 Zr 2.75, 2 P 2.75
Mo 0.7500 0.7500 0.5000  4 Mo 2.71-2.78, 2 Zr 2.75, 2 P 2.75
P 0.0000 0.5000 0.0000  4 Zr 2.71-2.78, 4 Mo 2.75
P 0.5000 0.0000 0.0000  4 Zr 2.71-2.78, 4 Mo 2.75

Fermi-level density of states, states/eV/f.u.: 3.46
SG: C2/m, No. 12
Energy relative to the elements, eV/atom: 0.00



This record from Alexandria describes La3GeSCl after structural relaxation. The functional is PBE-GGA.

Cell lengths 7.7822, 4.1599, 11.2013 Å; angles 90.00, 107.79, 90.00 degrees
Closest atoms and distances in Å follow each position.
Atoms (fractional coordinates):
La 0.1704 0.2500 0.1507  2 S 2.90, 1 Cl 3.11
La 0.2074 0.2500 0.4898  3 Cl 3.01-3.11, 3 Ge 3.07-3.15
La 0.3119 0.7500 0.8392  3 S 2.88-2.96, 1 Cl 3.04, 2 Ge 3.18
La 0.6881 0.2500 0.1608  3 S 2.88-2.96, 1 Cl 3.04, 2 Ge 3.18
La 0.7926 0.7500 0.5102  3 Cl 3.01-3.11, 3 Ge 3.07-3.15
La 0.8296 0.7500 0.8493  2 S 2.90, 1 Cl 3.11
Ge 0.0104 0.2500 0.6970  7 La 3.07-3.27
Ge 0.9896 0.7500 0.3030  7 La 3.07-3.27
S 0.4049 0.7500 0.1082  5 La 2.88-2.96
S 0.5951 0.2500 0.8918  5 La 2.88-2.96
Cl 0.4756 0.7500 0.6256  5 La 3.01-3.11
Cl 0.5244 0.2500 0.3744  5 La 3.01-3.11

Fermi-level density of states, states/eV/f.u.: 4.17
SG: P2_1/m, No. 11
Raw formation energy, eV per atom: -1.48



This record from Alexandria describes Ce6Os3N after structural relaxation. The functional is PBE-GGA.

Cell lengths 6.3947, 7.2630, 11.6643 Å; angles 90.00, 122.02, 90.00 degrees
Closest atoms and distances in Å follow each position.
Atoms (fractional coordinates):
Ce 0.0842 0.1941 0.4347  1 N 2.50, 1 Os 2.74
Ce 0.0842 0.3059 0.9347  1 N 2.50, 1 Os 2.74
Ce 0.2603 0.6583 0.4347  1 N 2.45
Ce 0.2603 0.8417 0.9347  1 N 2.45
Ce 0.3779 0.0584 0.2365  1 N 2.56, 2 Os 2.71-2.77
Ce 0.3779 0.4416 0.7365  1 N 2.56, 2 Os 2.71-2.77
Ce 0.6221 0.5584 0.2635  1 N 2.56, 2 Os 2.71-2.77
Ce 0.6221 0.9416 0.7635  1 N 2.56, 2 Os 2.71-2.77
Ce 0.7397 0.1583 0.0653  1 N 2.45
Ce 0.7397 0.3417 0.5653  1 N 2.45
Ce 0.9158 0.6941 0.0653  1 N 2.50, 1 Os 2.74
Ce 0.9158 0.8059 0.5653  1 N 2.50, 1 Os 2.74
Os 0.1933 0.1086 0.7423  5 Ce 2.71-3.03
Os 0.1933 0.3914 0.2423  5 Ce 2.71-3.03
Os 0.5000 0.0000 0.5000  6 Ce 2.74-2.80
Os 0.5000 0.5000 0.0000  6 Ce 2.74-2.80
Os 0.8067 0.6086 0.7577  5 Ce 2.71-3.03
Os 0.8067 0.8914 0.2577  5 Ce 2.71-3.03
N 0.0000 0.0000 0.0000  6 Ce 2.45-2.56
N 0.0000 0.5000 0.5000  6 Ce 2.45-2.56

Fermi-level density of states, states/eV/f.u.: 18.54
SG: P2_1/c, No. 14
Raw formation energy, eV per atom: -0.36



This record from Alexandria describes CrCdCo2 after structural relaxation. The functional is PBE-GGA.

Cell lengths 2.9110, 4.3547, 8.6999 Å; angles 90.00, 90.00, 90.00 degrees
Closest atoms and distances in Å follow each position.
Atoms (fractional coordinates):
Cr 0.0000 0.0000 0.0000  6 Co 2.55-2.64, 2 Cd 2.81
Cr 0.5000 0.5000 0.5000  6 Co 2.55-2.64, 2 Cd 2.81
Cd 0.0000 0.5000 0.7763  6 Co 2.62-2.71, 4 Cr 2.81-2.92, 2 Cd 2.91
Cd 0.5000 0.0000 0.2763  6 Co 2.62-2.71, 4 Cr 2.81-2.92, 2 Cd 2.91
Co 0.0000 0.0000 0.5386  2 Co 2.41, 4 Cr 2.64
Co 0.0000 0.5000 0.2589  2 Co 2.41, 2 Cr 2.55, 4 Cd 2.62
Co 0.5000 0.0000 0.7589  2 Co 2.41, 2 Cr 2.55, 4 Cd 2.62
Co 0.5000 0.5000 0.0386  2 Co 2.41, 4 Cr 2.64

Fermi-level density of states, states/eV/f.u.: 5.15
SG: Imm2, No. 44
Energy relative to the elements, eV/atom: 0.42



This record from Alexandria describes Cs2Li2Au after structural relaxation. The functional is PBE-GGA.

Cell lengths 7.7689, 7.7689, 6.2816 Å; angles 90.00, 90.00, 90.00 degrees
Closest atoms and distances in Å follow each position.
Atoms (fractional coordinates):
Cs 0.1953 0.3047 0.0000  2 Li 3.52
Cs 0.3047 0.8047 0.0000  2 Li 3.52
Cs 0.6953 0.1953 0.0000  2 Li 3.52
Cs 0.8047 0.6953 0.0000  2 Li 3.52
Li 0.1593 0.6593 0.5000  2 Au 2.92
Li 0.3407 0.1593 0.5000  2 Au 2.92
Li 0.6593 0.8407 0.5000  2 Au 2.92
Li 0.8407 0.3407 0.5000  2 Au 2.92
Au 0.0000 0.0000 0.5000  4 Li 2.92
Au 0.5000 0.5000 0.5000  4 Li 2.92

Fermi-level density of states, states/eV/f.u.: 3.59
SG: P4/mbm, No. 127
Energy above the lowest structure with this stoichiometry, meV/atom: 60.4
Energy relative to the elements, eV/atom: 0.03



This record from Alexandria describes PH2Ru after structural relaxation. The functional is PBE-GGA.

Cell lengths 2.9392, 3.5249, 3.7147 Å; angles 90.00, 90.00, 90.00 degrees
Closest atoms and distances in Å follow each position.
Atoms (fractional coordinates):
P 0.0000 0.0000 0.0000  1 H 1.40
H 0.0000 0.0000 0.6225  1 P 1.40
H 0.5000 0.5000 0.7094  1 Ru 1.71
Ru 0.5000 0.5000 0.1689  1 H 1.71

Fermi-level density of states, states/eV/f.u.: 0.27
SG: Pmm2, No. 25
Energy above the lowest structure with this stoichiometry, meV/atom: 76.8